(w)
The following is a GGA-PBE calculation of crystalline BePb3I at its relaxed geometry, from Alexandria via LeMat-Bulk.

Summary:
Symmetry: Pm-3m (221)
Theoretical density, g cm⁻³: 8.350
Crystal system: cubic

Unit cell a=5.321 b=5.321 c=5.321 alpha=90.00 beta=90.00 gamma=90.00
Element x y z (fractional)
Be 0.000 0.000 0.000
Pb 0.000 0.000 0.500
Pb 0.000 0.500 0.000
Pb 0.500 0.000 0.000
I 0.500 0.500 0.500

***

(x)
The following is a GGA-PBE calculation of crystalline BePb3I at its relaxed geometry, from Alexandria via LeMat-Bulk.

Summary:
Symmetry: Pm-3m (221)
Theoretical density, g cm⁻³: 5.748
Crystal system: cubic

Unit cell a=6.026 b=6.026 c=6.026 alpha=90.00 beta=90.00 gamma=90.00
Element x y z (fractional)
Be 0.000 0.000 0.000
Pb 0.000 0.500 0.500
Pb 0.500 0.000 0.500
Pb 0.500 0.500 0.000
I 0.500 0.500 0.500

***

(w) comes first in stability; the runner-up is 89.6 kJ/mol of atoms higher.

***

(w)
The following is a GGA-PBE calculation of crystalline BePbI2 at its relaxed geometry, from Alexandria via LeMat-Bulk.

Summary:
Symmetry: Fm-3m (225)
Theoretical density, g cm⁻³: 6.196
Crystal system: cubic

Unit cell a=7.957 b=7.957 c=7.957 alpha=90.00 beta=90.00 gamma=90.00
Element x y z (fractional)
Be 0.000 0.000 0.000
Be 0.000 0.500 0.500
Be 0.500 0.000 0.500
Be 0.500 0.500 0.000
Pb 0.000 0.000 0.500
Pb 0.000 0.500 0.000
Pb 0.500 0.000 0.000
Pb 0.500 0.500 0.500
I 0.250 0.250 0.250
I 0.250 0.250 0.750
I 0.250 0.750 0.250
I 0.250 0.750 0.750
I 0.750 0.250 0.250
I 0.750 0.250 0.750
I 0.750 0.750 0.250
I 0.750 0.750 0.750

***

(x)
The following is a GGA-PBE calculation of crystalline BePbI2 at its relaxed geometry, from Alexandria via LeMat-Bulk.

Summary:
Symmetry: I-42d (122)
Theoretical density, g cm⁻³: 5.553
Crystal system: tetragonal

Unit cell a=7.275 b=7.275 c=10.621 alpha=90.00 beta=90.00 gamma=90.00
Element x y z (fractional)
Be 0.000 0.000 0.000
Be 0.000 0.500 0.250
Be 0.500 0.000 0.750
Be 0.500 0.500 0.500
Pb 0.000 0.000 0.500
Pb 0.000 0.500 0.750
Pb 0.500 0.000 0.250
Pb 0.500 0.500 0.000
I 0.132 0.250 0.125
I 0.250 0.632 0.375
I 0.250 0.868 0.875
I 0.368 0.250 0.625
I 0.632 0.750 0.625
I 0.750 0.132 0.875
I 0.750 0.368 0.375
I 0.868 0.750 0.125

***

(x) comes first in stability; the runner-up is 20.7 kJ/mol of atoms higher.

***

(w)
The following is a GGA-PBE calculation of crystalline Be3PbI at its relaxed geometry, from Alexandria via LeMat-Bulk.

Summary:
Symmetry: Pm-3m (221)
Theoretical density, g cm⁻³: 5.320
Crystal system: cubic

Unit cell a=4.831 b=4.831 c=4.831 alpha=90.00 beta=90.00 gamma=90.00
Element x y z (fractional)
Be 0.000 0.000 0.500
Be 0.000 0.500 0.000
Be 0.500 0.000 0.000
Pb 0.500 0.500 0.500
I 0.000 0.000 0.000

***

(x)
The following is a GGA-PBE calculation of crystalline Be3PbI at its relaxed geometry, from Alexandria via LeMat-Bulk.

Summary:
Symmetry: Pm-3m (221)
Theoretical density, g cm⁻³: 5.043
Crystal system: cubic

Unit cell a=4.918 b=4.918 c=4.918 alpha=90.00 beta=90.00 gamma=90.00
Element x y z (fractional)
Be 0.000 0.000 0.500
Be 0.000 0.500 0.000
Be 0.500 0.000 0.000
Pb 0.000 0.000 0.000
I 0.500 0.500 0.500

***

(x) comes first in stability; the runner-up is 38.9 kJ/mol of atoms higher.

***

(w)
The following is a GGA-PBE calculation of crystalline BeSbPbI2 at its relaxed geometry, from Alexandria via LeMat-Bulk.

Summary:
Symmetry: P4/mmm (123)
Theoretical density, g cm⁻³: 4.088
Crystal system: tetragonal

Unit cell a=6.251 b=6.251 c=6.151 alpha=90.00 beta=90.00 gamma=90.00
Element x y z (fractional)
Be 0.000 0.000 0.000
Sb 0.500 0.500 0.000
Pb 0.500 0.500 0.500
I 0.000 0.500 0.500
I 0.500 0.000 0.500

***

(x)
The following is a GGA-PBE calculation of crystalline BeSbPbI2 at its relaxed geometry, from Alexandria via LeMat-Bulk.

Summary:
Symmetry: P4/mmm (123)
Theoretical density, g cm⁻³: 6.744
Crystal system: tetragonal

Unit cell a=5.271 b=5.271 c=5.244 alpha=90.00 beta=90.00 gamma=90.00
Element x y z (fractional)
Be 0.000 0.000 0.000
Sb 0.000 0.000 0.500
Pb 0.500 0.500 0.500
I 0.000 0.500 0.000
I 0.500 0.000 0.000

***

(x) comes first in stability; the runner-up is 60.4 kJ/mol of atoms higher.

***

(w)
The following is a GGA-PBE calculation of crystalline BeSb2PbI at its relaxed geometry, from Alexandria via LeMat-Bulk.

Summary:
Symmetry: P4/mmm (123)
Theoretical density, g cm⁻³: 4.444
Crystal system: tetragonal

Unit cell a=5.947 b=5.947 c=6.198 alpha=90.00 beta=90.00 gamma=90.00
Element x y z (fractional)
Be 0.000 0.000 0.000
Sb 0.000 0.500 0.500
Sb 0.500 0.000 0.500
Pb 0.500 0.500 0.500
I 0.500 0.500 0.000

***

(x)
The following is a GGA-PBE calculation of crystalline BeSb2PbI at its relaxed geometry, from Alexandria via LeMat-Bulk.

Summary:
Symmetry: P4/mmm (123)
Theoretical density, g cm⁻³: 7.012
Crystal system: tetragonal

Unit cell a=5.004 b=5.004 c=5.548 alpha=90.00 beta=90.00 gamma=90.00
Element x y z (fractional)
Be 0.000 0.000 0.000
Sb 0.000 0.500 0.000
Sb 0.500 0.000 0.000
Pb 0.500 0.500 0.500
I 0.000 0.000 0.500

***

(x) comes first in stability; the runner-up is 85.4 kJ/mol of atoms higher.

***

(w)
The following is a GGA-PBE calculation of crystalline Be2PdI at its relaxed geometry, from Alexandria via LeMat-Bulk.

Summary:
Symmetry: Fm-3m (225)
Theoretical density, g cm⁻³: 6.804
Crystal system: cubic

Unit cell a=6.260 b=6.260 c=6.260 alpha=90.00 beta=90.00 gamma=90.00
Element x y z (fractional)
Be 0.250 0.250 0.250
Be 0.250 0.250 0.750
Be 0.250 0.750 0.250
Be 0.250 0.750 0.750
Be 0.750 0.250 0.250
Be 0.750 0.250 0.750
Be 0.750 0.750 0.250
Be 0.750 0.750 0.750
Pd 0.000 0.000 0.000
Pd 0.000 0.500 0.500
Pd 0.500 0.000 0.500
Pd 0.500 0.500 0.000
I 0.000 0.000 0.500
I 0.000 0.500 0.000
I 0.500 0.000 0.000
I 0.500 0.500 0.500

***

(x)
The following is a GGA-PBE calculation of crystalline Be2PdI at its relaxed geometry, from Alexandria via LeMat-Bulk.

Summary:
Symmetry: I-42d (122)
Theoretical density, g cm⁻³: 5.109
Crystal system: tetragonal

Unit cell a=5.547 b=5.547 c=10.622 alpha=90.00 beta=90.00 gamma=90.00
Element x y z (fractional)
Be 0.193 0.250 0.125
Be 0.250 0.693 0.375
Be 0.250 0.807 0.875
Be 0.307 0.250 0.625
Be 0.693 0.750 0.625
Be 0.750 0.193 0.875
Be 0.750 0.307 0.375
Be 0.807 0.750 0.125
Pd 0.000 0.000 0.000
Pd 0.000 0.500 0.250
Pd 0.500 0.000 0.750
Pd 0.500 0.500 0.500
I 0.000 0.000 0.500
I 0.000 0.500 0.750
I 0.500 0.000 0.250
I 0.500 0.500 0.000

***

(x) comes first in stability; the runner-up is 45.2 kJ/mol of atoms higher.

***

(w)
The following is a GGA-PBE calculation of crystalline BePdI2 at its relaxed geometry, from Alexandria via LeMat-Bulk.

Summary:
Symmetry: I-42d (122)
Theoretical density, g cm⁻³: 5.827
Crystal system: tetragonal

Unit cell a=6.091 b=6.091 c=11.343 alpha=90.00 beta=90.00 gamma=90.00
Element x y z (fractional)
Be 0.000 0.000 0.000
Be 0.000 0.500 0.250
Be 0.500 0.000 0.750
Be 0.500 0.500 0.500
Pd 0.000 0.000 0.500
Pd 0.000 0.500 0.750
Pd 0.500 0.000 0.250
Pd 0.500 0.500 0.000
I 0.212 0.250 0.125
I 0.250 0.712 0.375
I 0.250 0.788 0.875
I 0.288 0.250 0.625
I 0.712 0.750 0.625
I 0.750 0.212 0.875
I 0.750 0.288 0.375
I 0.788 0.750 0.125

***

(x)
The following is a GGA-PBE calculation of crystalline BePdI2 at its relaxed geometry, from Alexandria via LeMat-Bulk.

Summary:
Symmetry: Fm-3m (225)
Theoretical density, g cm⁻³: 6.749
Crystal system: cubic

Unit cell a=7.136 b=7.136 c=7.136 alpha=90.00 beta=90.00 gamma=90.00
Element x y z (fractional)
Be 0.000 0.000 0.000
Be 0.000 0.500 0.500
Be 0.500 0.000 0.500
Be 0.500 0.500 0.000
Pd 0.000 0.000 0.500
Pd 0.000 0.500 0.000
Pd 0.500 0.000 0.000
Pd 0.500 0.500 0.500
I 0.250 0.250 0.250
I 0.250 0.250 0.750
I 0.250 0.750 0.250
I 0.250 0.750 0.750
I 0.750 0.250 0.250
I 0.750 0.250 0.750
I 0.750 0.750 0.250
I 0.750 0.750 0.750

***

(w) comes first in stability; the runner-up is 70.9 kJ/mol of atoms higher.

***

(w)
The following is a GGA-PBE calculation of crystalline BePd2I at its relaxed geometry, from Alexandria via LeMat-Bulk.

Summary:
Symmetry: I-42d (122)
Theoretical density, g cm⁻³: 6.943
Crystal system: tetragonal

Unit cell a=4.991 b=4.991 c=13.394 alpha=90.00 beta=90.00 gamma=90.00
Element x y z (fractional)
Be 0.000 0.000 0.000
Be 0.000 0.500 0.250
Be 0.500 0.000 0.750
Be 0.500 0.500 0.500
Pd 0.154 0.250 0.125
Pd 0.250 0.654 0.375
Pd 0.250 0.846 0.875
Pd 0.346 0.250 0.625
Pd 0.654 0.750 0.625
Pd 0.750 0.154 0.875
Pd 0.750 0.346 0.375
Pd 0.846 0.750 0.125
I 0.000 0.000 0.500
I 0.000 0.500 0.750
I 0.500 0.000 0.250
I 0.500 0.500 0.000

***

(x)
The following is a GGA-PBE calculation of crystalline BePd2I at its relaxed geometry, from Alexandria via LeMat-Bulk.

Summary:
Symmetry: Fm-3m (225)
Theoretical density, g cm⁻³: 8.501
Crystal system: cubic

Unit cell a=6.483 b=6.483 c=6.483 alpha=90.00 beta=90.00 gamma=90.00
Element x y z (fractional)
Be 0.000 0.000 0.000
Be 0.000 0.500 0.500
Be 0.500 0.000 0.500
Be 0.500 0.500 0.000
Pd 0.250 0.250 0.250
Pd 0.250 0.250 0.750
Pd 0.250 0.750 0.250
Pd 0.250 0.750 0.750
Pd 0.750 0.250 0.250
Pd 0.750 0.250 0.750
Pd 0.750 0.750 0.250
Pd 0.750 0.750 0.750
I 0.000 0.000 0.500
I 0.000 0.500 0.000
I 0.500 0.000 0.000
I 0.500 0.500 0.500

***

(w) comes first in stability; the runner-up is 12.8 kJ/mol of atoms higher.

***

(w)
The following is a GGA-PBE calculation of crystalline BeTe2PdI at its relaxed geometry, from Alexandria via LeMat-Bulk.

Summary:
Symmetry: P4/mmm (123)
Theoretical density, g cm⁻³: 5.391
Crystal system: tetragonal

Unit cell a=5.319 b=5.319 c=5.417 alpha=90.00 beta=90.00 gamma=90.00
Element x y z (fractional)
Be 0.000 0.000 0.000
Te 0.000 0.500 0.500
Te 0.500 0.000 0.500
Pd 0.500 0.500 0.500
I 0.500 0.500 0.000

***

(x)
The following is a GGA-PBE calculation of crystalline BeTe2PdI at its relaxed geometry, from Alexandria via LeMat-Bulk.

Summary:
Symmetry: P4/mmm (123)
Theoretical density, g cm⁻³: 6.499
Crystal system: tetragonal

Unit cell a=4.981 b=4.981 c=5.124 alpha=90.00 beta=90.00 gamma=90.00
Element x y z (fractional)
Be 0.000 0.000 0.000
Te 0.000 0.500 0.000
Te 0.500 0.000 0.000
Pd 0.500 0.500 0.500
I 0.000 0.000 0.500

***

(x) comes first in stability; the runner-up is 18.8 kJ/mol of atoms higher.

***

(w)
The following is a GGA-PBE calculation of crystalline BePtI2 at its relaxed geometry, from Alexandria via LeMat-Bulk.

Summary:
Symmetry: I-42d (122)
Theoretical density, g cm⁻³: 7.309
Crystal system: tetragonal

Unit cell a=6.011 b=6.011 c=11.518 alpha=90.00 beta=90.00 gamma=90.00
Element x y z (fractional)
Be 0.000 0.000 0.000
Be 0.000 0.500 0.250
Be 0.500 0.000 0.750
Be 0.500 0.500 0.500
Pt 0.000 0.000 0.500
Pt 0.000 0.500 0.750
Pt 0.500 0.000 0.250
Pt 0.500 0.500 0.000
I 0.218 0.250 0.125
I 0.250 0.718 0.375
I 0.250 0.782 0.875
I 0.282 0.250 0.625
I 0.718 0.750 0.625
I 0.750 0.218 0.875
I 0.750 0.282 0.375
I 0.782 0.750 0.125

***

(x)
The following is a GGA-PBE calculation of crystalline BePtI2 at its relaxed geometry, from Alexandria via LeMat-Bulk.

Summary:
Symmetry: Fm-3m (225)
Theoretical density, g cm⁻³: 8.560
Crystal system: cubic

Unit cell a=7.083 b=7.083 c=7.083 alpha=90.00 beta=90.00 gamma=90.00
Element x y z (fractional)
Be 0.000 0.000 0.000
Be 0.000 0.500 0.500
Be 0.500 0.000 0.500
Be 0.500 0.500 0.000
Pt 0.000 0.000 0.500
Pt 0.000 0.500 0.000
Pt 0.500 0.000 0.000
Pt 0.500 0.500 0.500
I 0.250 0.250 0.250
I 0.250 0.250 0.750
I 0.250 0.750 0.250
I 0.250 0.750 0.750
I 0.750 0.250 0.250
I 0.750 0.250 0.750
I 0.750 0.750 0.250
I 0.750 0.750 0.750

***

(w) comes first in stability; the runner-up is 71.3 kJ/mol of atoms higher.

***

(w)
The following is a GGA-PBE calculation of crystalline Be3PtI at its relaxed geometry, from Alexandria via LeMat-Bulk.

Summary:
Symmetry: Pm-3m (221)
Theoretical density, g cm⁻³: 6.489
Crystal system: cubic

Unit cell a=4.470 b=4.470 c=4.470 alpha=90.00 beta=90.00 gamma=90.00
Element x y z (fractional)
Be 0.000 0.000 0.500
Be 0.000 0.500 0.000
Be 0.500 0.000 0.000
Pt 0.000 0.000 0.000
I 0.500 0.500 0.500

***

(x)
The following is a GGA-PBE calculation of crystalline Be3PtI at its relaxed geometry, from Alexandria via LeMat-Bulk.

Summary:
Symmetry: Pm-3m (221)
Theoretical density, g cm⁻³: 6.046
Crystal system: cubic

Unit cell a=4.577 b=4.577 c=4.577 alpha=90.00 beta=90.00 gamma=90.00
Element x y z (fractional)
Be 0.000 0.000 0.500
Be 0.000 0.500 0.000
Be 0.500 0.000 0.000
Pt 0.500 0.500 0.500
I 0.000 0.000 0.000

***

(w) comes first in stability; the runner-up is 136.0 kJ/mol of atoms higher.

***

(w)
The following is a GGA-PBE calculation of crystalline BeSb2PtI at its relaxed geometry, from Alexandria via LeMat-Bulk.

Summary:
Symmetry: P4/mmm (123)
Theoretical density, g cm⁻³: 8.190
Crystal system: tetragonal

Unit cell a=4.852 b=4.852 c=4.948 alpha=90.00 beta=90.00 gamma=90.00
Element x y z (fractional)
Be 0.000 0.000 0.000
Sb 0.000 0.500 0.000
Sb 0.500 0.000 0.000
Pt 0.500 0.500 0.500
I 0.000 0.000 0.500

***

(x)
The following is a GGA-PBE calculation of crystalline BeSb2PtI at its relaxed geometry, from Alexandria via LeMat-Bulk.

Summary:
Symmetry: P4/mmm (123)
Theoretical density, g cm⁻³: 6.186
Crystal system: tetragonal

Unit cell a=5.241 b=5.241 c=5.616 alpha=90.00 beta=90.00 gamma=90.00
Element x y z (fractional)
Be 0.000 0.000 0.000
Sb 0.000 0.500 0.500
Sb 0.500 0.000 0.500
Pt 0.500 0.500 0.500
I 0.500 0.500 0.000

***

(w) comes first in stability; the runner-up is 12.6 kJ/mol of atoms higher.

***

(w)
The following is a GGA-PBE calculation of crystalline BeTePtI2 at its relaxed geometry, from Alexandria via LeMat-Bulk.

Summary:
Symmetry: P4/mmm (123)
Theoretical density, g cm⁻³: 6.022
Crystal system: tetragonal

Unit cell a=5.540 b=5.540 c=5.261 alpha=90.00 beta=90.00 gamma=90.00
Element x y z (fractional)
Be 0.000 0.000 0.000
Te 0.500 0.500 0.000
Pt 0.500 0.500 0.500
I 0.000 0.500 0.500
I 0.500 0.000 0.500

***

(x)
The following is a GGA-PBE calculation of crystalline BeTePtI2 at its relaxed geometry, from Alexandria via LeMat-Bulk.

Summary:
Symmetry: P4/mmm (123)
Theoretical density, g cm⁻³: 7.609
Crystal system: tetragonal

Unit cell a=4.986 b=4.986 c=5.139 alpha=90.00 beta=90.00 gamma=90.00
Element x y z (fractional)
Be 0.000 0.000 0.000
Te 0.000 0.000 0.500
Pt 0.500 0.500 0.500
I 0.000 0.500 0.000
I 0.500 0.000 0.000

***

(w) comes first in stability; the runner-up is 4.1 kJ/mol of atoms higher.